one:
# HgSbS2 (PBE-GGA, relaxed)
# - size of the total moment (μB per atom) = 0.0000
# - SG = No. 166
data_HgSbS2
_symmetry_space_group_name_H-M 'P 1'
_symmetry_Int_Tables_number 1
_symmetry_space_group_name_Hall 'P 1'
_cell_length_a 10.861
_cell_length_b 10.861
_cell_length_c 10.861
_cell_angle_alpha 19.71
_cell_angle_beta 19.71
_cell_angle_gamma 19.71
loop_
_atom_site_label
_atom_site_fract_x
_atom_site_fract_y
_atom_site_fract_z
Hg1 0.000 0.000 0.000
Sb1 0.500 0.500 0.500
S1 0.118 0.118 0.118
S2 0.882 0.882 0.882

two:
# HgSbS2 (PBE-GGA, relaxed)
# - size of the total moment (μB per atom) = 0.0000
# - SG = No. 46
data_HgSbS2
_symmetry_space_group_name_H-M 'P 1'
_symmetry_Int_Tables_number 1
_symmetry_space_group_name_Hall 'P 1'
_cell_length_a 7.323
_cell_length_b 7.323
_cell_length_c 7.323
_cell_angle_alpha 107.55
_cell_angle_beta 90.15
_cell_angle_gamma 134.10
loop_
_atom_site_label
_atom_site_fract_x
_atom_site_fract_y
_atom_site_fract_z
Hg1 0.244 0.250 0.494
Hg2 0.756 0.750 0.506
Sb1 0.750 0.117 0.133
Sb2 0.984 0.617 0.867
S1 0.295 0.689 0.107
S2 0.582 0.189 0.893
S3 0.955 0.455 0.500
S4 0.955 0.955 0.000

Of them, two has the lowest stability.

one:
# HgSbS4 (PBE-GGA, relaxed)
# - size of the total moment (μB per atom) = 0.0932
# - SG = No. 10
data_HgSbS4
_symmetry_space_group_name_H-M 'P 1'
_symmetry_Int_Tables_number 1
_symmetry_space_group_name_Hall 'P 1'
_cell_length_a 6.673
_cell_length_b 3.637
_cell_length_c 6.803
_cell_angle_alpha 90.00
_cell_angle_beta 101.86
_cell_angle_gamma 90.00
loop_
_atom_site_label
_atom_site_fract_x
_atom_site_fract_y
_atom_site_fract_z
Hg1 0.000 0.000 0.000
Sb1 0.000 0.500 0.500
S1 0.208 0.500 0.221
S2 0.242 0.000 0.667
S3 0.758 0.000 0.333
S4 0.792 0.500 0.779

two:
# HgSbS4 (PBE-GGA, relaxed)
# - size of the total moment (μB per atom) = 0.0000
# - SG = No. 2
data_HgSbS4
_symmetry_space_group_name_H-M 'P 1'
_symmetry_Int_Tables_number 1
_symmetry_space_group_name_Hall 'P 1'
_cell_length_a 6.834
_cell_length_b 7.472
_cell_length_c 7.542
_cell_angle_alpha 114.87
_cell_angle_beta 90.12
_cell_angle_gamma 105.95
loop_
_atom_site_label
_atom_site_fract_x
_atom_site_fract_y
_atom_site_fract_z
Hg1 0.028 0.125 0.412
Hg2 0.972 0.875 0.588
Sb1 0.393 0.637 0.826
Sb2 0.607 0.363 0.174
S1 0.116 0.397 0.289
S2 0.242 0.271 0.033
S3 0.298 0.852 0.151
S4 0.462 0.890 0.675
S5 0.538 0.110 0.325
S6 0.702 0.148 0.849
S7 0.758 0.729 0.967
S8 0.884 0.603 0.711

Of them, one has the lowest stability.

one:
# Hg3SbS (PBE-GGA, relaxed)
# - size of the total moment (μB per atom) = 0.0000
# - SG = No. 221
data_Hg3SbS
_symmetry_space_group_name_H-M 'P 1'
_symmetry_Int_Tables_number 1
_symmetry_space_group_name_Hall 'P 1'
_cell_length_a 5.558
_cell_length_b 5.558
_cell_length_c 5.558
_cell_angle_alpha 90.00
_cell_angle_beta 90.00
_cell_angle_gamma 90.00
loop_
_atom_site_label
_atom_site_fract_x
_atom_site_fract_y
_atom_site_fract_z
Hg1 0.000 0.000 0.500
Hg2 0.000 0.500 0.000
Hg3 0.500 0.000 0.000
Sb1 0.000 0.000 0.000
S1 0.500 0.500 0.500

two:
# Hg3SbS (PBE-GGA, relaxed)
# - size of the total moment (μB per atom) = 0.0000
# - SG = No. 221
data_Hg3SbS
_symmetry_space_group_name_H-M 'P 1'
_symmetry_Int_Tables_number 1
_symmetry_space_group_name_Hall 'P 1'
_cell_length_a 5.214
_cell_length_b 5.214
_cell_length_c 5.214
_cell_angle_alpha 90.00
_cell_angle_beta 90.00
_cell_angle_gamma 90.00
loop_
_atom_site_label
_atom_site_fract_x
_atom_site_fract_y
_atom_site_fract_z
Hg1 0.000 0.000 0.500
Hg2 0.000 0.500 0.000
Hg3 0.500 0.000 0.000
Sb1 0.500 0.500 0.500
S1 0.000 0.000 0.000

Of them, one has the lowest stability.